VASP calculation (GGA-PBE) on a geometry-optimized CeUTl2S6 structure.

POSCAR file:
```
CeUTl2S6
1.0
-4.103 -5.906 1.208
1.323 -2.317 -6.832
8.357 -5.123 3.356
Ce S Tl U
2 12 4 2
Direct
0.000 0.500 0.500 Ce
0.500 0.000 0.000 Ce
0.068 0.490 0.758 S
0.432 0.990 0.742 S
0.568 0.010 0.258 S
0.279 0.704 0.034 S
0.703 0.280 0.535 S
0.203 0.220 0.035 S
0.221 0.204 0.466 S
0.779 0.796 0.534 S
0.932 0.510 0.242 S
0.797 0.780 0.965 S
0.721 0.296 0.966 S
0.297 0.720 0.465 S
0.494 0.461 0.249 Tl
0.006 0.961 0.251 Tl
0.994 0.039 0.749 Tl
0.506 0.539 0.751 Tl
0.000 0.500 0.000 U
0.500 0.000 0.500 U
```

Formation energy (no corrections) = -10.7 eV/f.u.
Space group = P2_1/c (14)
E = -5.7410 eV/atom